Here is ScAlCuRu after structural relaxation from Alexandria. Energies are from PBE.

a b c (Å): 6.2262 6.2262 6.2262
angles (deg): 90.00 90.00 90.00
Last column: nearest neighbours and their distance in Å.
Space group F-43m (No. 216)
Unique sites:
Sc 0.0000 0.0000 0.0000  4 Ru 2.70, 4 Cu 2.70
Al 0.0000 0.0000 0.5000  4 Cu 2.70, 4 Ru 2.70
Cu 0.2500 0.2500 0.2500  4 Sc 2.70, 4 Al 2.70
Ru 0.2500 0.2500 0.7500  4 Al 2.70, 4 Sc 2.70

## Properties
E above lowest polymorph = 0.004 eV/atom
magnetic moment = 0.00 μB/f.u.
DOS(E_F) = 10.8 states/eV/cell
energy relative to the elements = -475 meV/atom